Material: VBAu2
Method: DFT, GGA-PBE
State: relaxed

```
8
Lattice="-2.466 2.466 6.292 2.466 -2.466 6.292 2.466 2.466 -6.292" Properties=species:S:1:pos:R:3 pbc="T T T"
V 0.000 0.000 0.000
V 0.000 2.466 3.146
B 2.466 0.000 3.146
B 0.000 0.000 6.292
Au 1.233 -0.782 4.719
Au 1.684 1.233 1.573
Au 1.233 3.247 -1.573
Au 0.782 1.233 7.865
```

Values from the calculation:
SG = No. 122
total energy = -4.791 eV/atom
crystal system = tetragonal
ΔE_f = 0.80 eV/atom

Material: TcRh2Br
Method: DFT, GGA-PBE
State: relaxed

```
4
Lattice="4.740 0.000 0.000 0.000 4.740 0.000 0.000 0.000 2.821" Properties=species:S:1:pos:R:3 pbc="T T T"
Tc 0.000 0.000 0.000
Rh 0.000 2.370 1.411
Rh 2.370 0.000 1.411
Br 2.370 2.370 0.000
```

Values from the calculation:
SG = No. 123
total energy = -5.935 eV/atom
E_form (uncorrected) = 751 meV per atom
crystal system = tetragonal

Q: What is the total energy in the second record?
A: -5.935 eV/atom

Q: Which value of total energy does entry 2 give?
A: -5.935 eV/atom